Entry 1:
The following is a PBE calculation of crystalline CrSiHRu2 at its relaxed geometry, from Alexandria.

a = 4.5229 Å, b = 4.5229 Å, c = 3.0352 Å
α = 90.00°, β = 90.00°, γ = 90.00°
Space group P4/mmm (No. 123)
Asymmetric unit:
1 Cr 0.0000 0.0000 0.0000
2 Si 0.5000 0.5000 0.5000
3 H 0.0000 0.0000 0.5000
4 Ru 0.0000 0.5000 0.0000

Calculated values
E above lowest polymorph ... 710.4 meV per atom
Total magnetization ... 0.00 μB/atom
Density of states at the Fermi level ... 4.7 states/eV/f.u.
Volume ... 12.418 A^3/atom
DFT total energy ... -6.80 eV/atom

=====

Entry 2:
The following is a PBE calculation of crystalline ThBePtRh2 at its relaxed geometry, from Alexandria.

a = 4.3710 Å, b = 4.3710 Å, c = 4.3172 Å
α = 90.00°, β = 90.00°, γ = 90.00°
Space group P4/mmm (No. 123)
Asymmetric unit:
1 Th 0.0000 0.0000 0.0000
2 Be 0.5000 0.5000 0.5000
3 Pt 0.5000 0.5000 0.0000
4 Rh 0.0000 0.5000 0.5000

Calculated values
Total magnetization ... 0.00 μB/atom
Density of states at the Fermi level ... 0.4 states/eV/f.u.
Volume ... 16.497 A^3/atom
Energy of formation from the pure elements ... -0.880 eV per atom
DFT total energy ... -7.26 eV/atom

=====

Entry 3:
The following is a PBE calculation of crystalline DyNi2Sn8 at its relaxed geometry, from Alexandria.

a = 6.3332 Å, b = 6.3332 Å, c = 7.4437 Å
α = 90.00°, β = 90.00°, γ = 90.00°
Space group P4/mmm (No. 123)
Asymmetric unit:
1 Dy 0.0000 0.0000 0.0000
2 Ni 0.0000 0.5000 0.5000
3 Sn 0.2548 0.2548 0.2914

Calculated values
Total magnetization ... 0.00 μB/atom
Density of states at the Fermi level ... 5.1 states/eV/f.u.
Volume ... 27.142 A^3/atom
Energy of formation from the pure elements ... -0.123 eV per atom
DFT total energy ... -4.50 eV/atom

=====

Entry 4:
The following is a PBE calculation of crystalline LiHgAs2 at its relaxed geometry, from Alexandria.

a = 4.2346 Å, b = 4.2346 Å, c = 8.7656 Å
α = 90.00°, β = 90.00°, γ = 90.00°
Space group I-4m2 (No. 119)
Asymmetric unit:
1 Li 0.0000 0.0000 0.0000
2 Hg 0.0000 0.5000 0.2500
3 As 0.0000 0.0000 0.5000
4 As 0.0000 0.5000 0.7500

Calculated values
Total magnetization ... 0.00 μB/atom
Density of states at the Fermi level ... 1.3 states/eV/f.u.
Volume ... 19.647 A^3/atom
Energy of formation from the pure elements ... -0.012 eV per atom
DFT total energy ... -2.89 eV/atom

=====

Entry 5:
The following is a PBE calculation of crystalline HoErRhPb at its relaxed geometry, from Alexandria.

a = 7.2324 Å, b = 7.2324 Å, c = 7.2324 Å
α = 90.00°, β = 90.00°, γ = 90.00°
Space group F-43m (No. 216)
Asymmetric unit:
1 Ho 0.0000 0.0000 0.0000
2 Er 0.0000 0.0000 0.5000
3 Rh 0.2500 0.2500 0.7500
4 Pb 0.2500 0.2500 0.2500

Calculated values
E above lowest polymorph ... 171.8 meV per atom
Total magnetization ... 0.00 μB/atom
Density of states at the Fermi level ... 3.1 states/eV/f.u.
Volume ... 23.645 A^3/atom
Energy of formation from the pure elements ... -0.527 eV per atom
DFT total energy ... -5.58 eV/atom

=====

Entry 6:
The following is a PBE calculation of crystalline CsLiBi2 at its relaxed geometry, from Alexandria.

a = 3.6532 Å, b = 3.6532 Å, c = 33.6188 Å
α = 90.00°, β = 90.00°, γ = 120.00°
Space group R-3m (No. 166, hexagonal axes)
Asymmetric unit:
1 Cs 0.0000 0.0000 0.0000
2 Li 0.0000 0.0000 0.5000
3 Bi 0.0000 0.0000 0.2351

Calculated values
E above lowest polymorph ... 111.0 meV per atom
Total magnetization ... 0.00 μB/atom
Density of states at the Fermi level ... 1.9 states/eV/f.u.
Volume ... 32.379 A^3/atom
Energy of formation from the pure elements ... -0.155 eV per atom
DFT total energy ... -2.79 eV/atom

=====

Entry 7:
The following is a PBE calculation of crystalline Th4ZrP5 at its relaxed geometry, from Alexandria.

a = 9.0796 Å, b = 9.0796 Å, c = 5.7874 Å
α = 90.00°, β = 90.00°, γ = 90.00°
Space group I4/m (No. 87)
Asymmetric unit:
1 Th 0.0970 0.6995 0.0000
2 Zr 0.0000 0.0000 0.5000
3 P 0.0000 0.0000 0.0000
4 P 0.0976 0.7123 0.5000

Calculated values
Total magnetization ... 0.00 μB/atom
Density of states at the Fermi level ... 5.7 states/eV/f.u.
Volume ... 23.855 A^3/atom
Energy of formation from the pure elements ... -1.464 eV per atom
DFT total energy ... -7.99 eV/atom

=====

Entry 8:
The following is a PBE calculation of crystalline SbTeIr at its relaxed geometry, from Alexandria.

a = 3.9236 Å, b = 3.9236 Å, c = 5.4854 Å
α = 90.00°, β = 90.00°, γ = 120.00°
Space group P3m1 (No. 156)
Asymmetric unit:
1 Sb 0.0000 0.0000 0.0000
2 Te 0.6667 0.3333 0.4803
3 Ir 0.3333 0.6667 0.7427

Calculated values
Total magnetization ... 0.00 μB/atom
Density of states at the Fermi level ... 1.9 states/eV/f.u.
Formation energy (no corrections) ... -0.4 eV/f.u.
Volume ... 24.377 A^3/atom
DFT total energy ... -5.52 eV/atom